A geometry-optimized GaCu3I structure, computed with PBE.

## Properties
Its symmetry is No. 221. Its excess energy over the best structure of this formula in the dataset is 0.410 eV per atom.

Cell: 4.994 4.994 4.994 Å, 90.00 90.00 90.00°
Sites, in units of the cell vectors:
Ga: 0.000 0.000 0.000
Cu: 0.000 0.500 0.500
Cu: 0.500 0.000 0.500
Cu: 0.500 0.500 0.000
I: 0.500 0.500 0.500